1.
Cu2NiIr | PBE | optimized geometry

Cell: 5.8570 5.8570 5.8570 Å, 90.00 90.00 90.00°
Space group F-43m (No. 216)
Unique sites:
Cu (0.0000, 0.0000, 0.0000)
Cu (0.2500, 0.2500, 0.2500)
Ni (0.0000, 0.0000, 0.5000)
Ir (0.2500, 0.2500, 0.7500)

* distance to the lowest polymorph of the same formula: 52 kJ/mol of formula units



2.
MgZn2P | PBE | optimized geometry

Cell: 7.6285 7.6285 5.0506 Å, 90.00 90.00 90.00°
Space group I-42d (No. 122)
Unique sites:
Mg (0.0000, 0.0000, 0.0000)
Zn (0.1896, 0.7500, 0.6250)
P (0.0000, 0.0000, 0.5000)



Energy of formation
In order: 0.19; -0.02
Unit: eV/atom